1.
A plane-wave DFT calculation with GGA-PBE was carried out for a relaxed Pm8Al2Ga crystal.

Cell: 18.659 5.178 7.060 Å, 90.00 107.36 90.00°
Space group C2/m (No. 12)
Inequivalent atoms, fractional coordinates:
Pm 0.015 0.000 0.269 (multiplicity 4)
Pm 0.094 0.500 0.962 (multiplicity 4)
Pm 0.159 0.500 0.462 (multiplicity 4)
Pm 0.205 0.000 0.801 (multiplicity 4)
Al 0.181 0.000 0.223 (multiplicity 4)
Ga 0.000 0.500 0.500 (multiplicity 2)

***

2.
A plane-wave DFT calculation with GGA-PBE was carried out for a relaxed PmAlGa2 crystal.

Results
**Energy above the most stable polymorph in this dataset**: 9.2 kJ per mole of atoms

Cell: 4.3343 4.3343 15.7009 Å, 90.00 90.00 120.00°
Space group R-3m (No. 166, hexagonal axes)
Inequivalent atoms, fractional coordinates:
Pm 0.0000 0.0000 0.0000 (multiplicity 3)
Al 0.0000 0.0000 0.5000 (multiplicity 3)
Ga 0.0000 0.0000 0.2215 (multiplicity 6)

***

3.
A plane-wave DFT calculation with GGA-PBE was carried out for a relaxed Pm3AlGa8 crystal.

Cell: 5.6249 5.6249 26.8768 Å, 90.00 90.00 120.00°
Space group R3m (No. 160, hexagonal axes)
Inequivalent atoms, fractional coordinates:
Pm 0.0000 0.0000 0.0000 (multiplicity 3)
Pm 0.0000 0.0000 0.1320 (multiplicity 3)
Pm 0.0000 0.0000 0.6171 (multiplicity 3)
Al 0.0000 0.0000 0.4953 (multiplicity 3)
Ga 0.0000 0.0000 0.3134 (multiplicity 3)
Ga 0.0000 0.0000 0.8163 (multiplicity 3)
Ga 0.0046 0.5023 0.5644 (multiplicity 9)
Ga 0.1678 0.3356 0.3978 (multiplicity 9)

***

4.
A plane-wave DFT calculation with GGA-PBE was carried out for a relaxed Pm4AlGa crystal.

Results
**Energy above the most stable polymorph in this dataset**: 0.0 kJ per mole of atoms

Cell: 14.062 14.062 14.062 Å, 90.00 90.00 90.00°
Space group F-43m (No. 216)
Inequivalent atoms, fractional coordinates:
Pm 0.000 0.000 0.185 (multiplicity 24)
Pm 0.051 0.250 0.750 (multiplicity 24)
Pm 0.110 0.110 0.390 (multiplicity 16)
Al 0.174 0.174 0.174 (multiplicity 16)
Ga 0.107 0.107 0.607 (multiplicity 16)

***

5.
A plane-wave DFT calculation with GGA-PBE was carried out for a relaxed Pm2AlGa3 crystal.

Results
**Energy above the most stable polymorph in this dataset**: 0.0 kJ per mole of atoms

Cell: 8.482 8.586 14.882 Å, 90.00 90.00 90.00°
Space group Fmmm (No. 69)
Inequivalent atoms, fractional coordinates:
Pm 0.247 0.000 0.000 (multiplicity 8)
Pm 0.250 0.250 0.250 (multiplicity 8)
Al 0.000 0.000 0.334 (multiplicity 8)
Ga 0.000 0.000 0.167 (multiplicity 8)
Ga 0.000 0.250 0.083 (multiplicity 16)

***

6.
A plane-wave DFT calculation with GGA-PBE was carried out for a relaxed PmAlGa4 crystal.

Results
**Energy above the most stable polymorph in this dataset**: 0.0 kJ per mole of atoms

Cell: 4.120 6.589 8.820 Å, 90.00 90.00 90.00°
Space group Immm (No. 71)
Inequivalent atoms, fractional coordinates:
Pm 0.000 0.000 0.000 (multiplicity 2)
Al 0.000 0.500 0.000 (multiplicity 2)
Ga 0.000 0.207 0.339 (multiplicity 8)

***

7.
A plane-wave DFT calculation with GGA-PBE was carried out for a relaxed Pm2AlGa crystal.

Cell: 7.373 7.373 7.373 Å, 90.00 90.00 90.00°
Space group Fm-3m (No. 225)
Inequivalent atoms, fractional coordinates:
Pm 0.250 0.250 0.250 (multiplicity 8)
Al 0.000 0.000 0.000 (multiplicity 4)
Ga 0.000 0.000 0.500 (multiplicity 4)

***

8.
A plane-wave DFT calculation with GGA-PBE was carried out for a relaxed Pm2AlGa3 crystal.

Results
**Energy above the most stable polymorph in this dataset**: 0.8 kJ per mole of atoms

Cell: 4.148 4.349 15.019 Å, 90.00 90.00 90.00°
Space group Imm2 (No. 44)
Inequivalent atoms, fractional coordinates:
Pm 0.000 0.000 0.000 (multiplicity 2)
Pm 0.000 0.500 0.259 (multiplicity 2)
Al 0.000 0.000 0.588 (multiplicity 2)
Ga 0.000 0.000 0.422 (multiplicity 2)
Ga 0.000 0.500 0.671 (multiplicity 2)
Ga 0.000 0.500 0.836 (multiplicity 2)

***

9.
A plane-wave DFT calculation with GGA-PBE was carried out for a relaxed Pm3Al2Ga crystal.

Results
**Energy above the most stable polymorph in this dataset**: 0.0 kJ per mole of atoms

Cell: 3.688 3.688 11.091 Å, 90.00 90.00 90.00°
Space group P4/mmm (No. 123)
Inequivalent atoms, fractional coordinates:
Pm 0.000 0.000 0.000 (multiplicity 1)
Pm 0.000 0.000 0.336 (multiplicity 2)
Al 0.500 0.500 0.167 (multiplicity 2)
Ga 0.500 0.500 0.500 (multiplicity 1)

***

10.
A plane-wave DFT calculation with GGA-PBE was carried out for a relaxed PmAl3Ga3 crystal.

Results
**Energy above the most stable polymorph in this dataset**: 28.4 kJ per mole of atoms

Cell: 11.942 11.942 11.942 Å, 90.00 90.00 90.00°
Space group Fm-3m (No. 225)
Inequivalent atoms, fractional coordinates:
Pm 0.250 0.250 0.250 (multiplicity 8)
Al 0.000 0.000 0.154 (multiplicity 24)
Ga 0.000 0.000 0.349 (multiplicity 24)

***

11.
A plane-wave DFT calculation with GGA-PBE was carried out for a relaxed Pm2Al3Ga5 crystal.

Cell: 10.557 12.693 6.047 Å, 90.00 90.00 90.00°
Space group Ibam (No. 72)
Inequivalent atoms, fractional coordinates:
Pm 0.238 0.128 0.000 (multiplicity 8)
Al 0.000 0.500 0.250 (multiplicity 4)
Al 0.111 0.138 0.500 (multiplicity 8)
Ga 0.000 0.000 0.250 (multiplicity 4)
Ga 0.000 0.278 0.250 (multiplicity 8)
Ga 0.155 0.391 0.000 (multiplicity 8)

***

12.
A plane-wave DFT calculation with GGA-PBE was carried out for a relaxed PmAl4Ga2 crystal.

Cell: 4.154 15.449 4.142 Å, 90.00 90.00 90.00°
Space group Cmmm (No. 65)
Inequivalent atoms, fractional coordinates:
Pm 0.000 0.000 0.000 (multiplicity 2)
Al 0.000 0.184 0.500 (multiplicity 4)
Al 0.000 0.312 0.000 (multiplicity 4)
Ga 0.000 0.420 0.500 (multiplicity 4)

***

13.
A plane-wave DFT calculation with GGA-PBE was carried out for a relaxed Pm7Al2Ga2 crystal.

Cell: 7.855 11.168 7.553 Å, 90.00 90.00 90.00°
Space group Cmmm (No. 65)
Inequivalent atoms, fractional coordinates:
Pm 0.000 0.000 0.000 (multiplicity 2)
Pm 0.000 0.500 0.258 (multiplicity 4)
Pm 0.250 0.250 0.284 (multiplicity 8)
Al 0.166 0.000 0.500 (multiplicity 4)
Ga 0.000 0.289 0.000 (multiplicity 4)

***

14.
A plane-wave DFT calculation with GGA-PBE was carried out for a relaxed Pm8AlGa6 crystal.

Cell: 8.9081 8.9081 18.3552 Å, 90.00 90.00 120.00°
Space group R-3 (No. 148, hexagonal axes)
Inequivalent atoms, fractional coordinates:
Pm 0.0000 0.0000 0.1700 (multiplicity 6)
Pm 0.0107 0.7291 0.6098 (multiplicity 18)
Al 0.0000 0.0000 0.5000 (multiplicity 3)
Ga 0.0045 0.6564 0.4462 (multiplicity 18)

***

15.
A plane-wave DFT calculation with GGA-PBE was carried out for a relaxed Pm2Al2Ga crystal.

Cell: 11.286 4.363 11.306 Å, 90.00 118.47 90.00°
Space group C2/m (No. 12)
Inequivalent atoms, fractional coordinates:
Pm 0.103 0.000 0.404 (multiplicity 4)
Pm 0.207 0.500 0.152 (multiplicity 4)
Al 0.041 0.000 0.914 (multiplicity 4)
Al 0.121 0.500 0.615 (multiplicity 4)
Ga 0.068 0.500 0.815 (multiplicity 4)

***

16.
A plane-wave DFT calculation with GGA-PBE was carried out for a relaxed Pm3Al9Ga2 crystal.

Cell: 4.370 10.030 12.923 Å, 90.00 90.00 90.00°
Space group Immm (No. 71)
Inequivalent atoms, fractional coordinates:
Pm 0.000 0.000 0.000 (multiplicity 2)
Pm 0.000 0.000 0.318 (multiplicity 4)
Al 0.000 0.274 0.140 (multiplicity 8)
Al 0.000 0.370 0.337 (multiplicity 8)
Al 0.000 0.500 0.000 (multiplicity 2)
Ga 0.000 0.214 0.500 (multiplicity 4)

***

17.
A plane-wave DFT calculation with GGA-PBE was carried out for a relaxed PmAlGa2 crystal.

Results
**Energy above the most stable polymorph in this dataset**: 26.6 kJ per mole of atoms

Cell: 6.961 6.961 6.961 Å, 90.00 90.00 90.00°
Space group Fm-3m (No. 225)
Inequivalent atoms, fractional coordinates:
Pm 0.000 0.000 0.000 (multiplicity 4)
Al 0.000 0.000 0.500 (multiplicity 4)
Ga 0.250 0.250 0.250 (multiplicity 8)

***

18.
A plane-wave DFT calculation with GGA-PBE was carried out for a relaxed Pm2Al3Ga2 crystal.

Results
**Energy above the most stable polymorph in this dataset**: 0.0 kJ per mole of atoms

Cell: 10.671 4.300 6.942 Å, 90.00 111.23 90.00°
Space group C2/m (No. 12)
Inequivalent atoms, fractional coordinates:
Pm 0.145 0.000 0.281 (multiplicity 4)
Al 0.000 0.500 0.500 (multiplicity 2)
Al 0.100 0.500 0.925 (multiplicity 4)
Ga 0.157 0.000 0.752 (multiplicity 4)

***

19.
A plane-wave DFT calculation with GGA-PBE was carried out for a relaxed Pm3AlGa crystal.

Cell: 4.885 8.204 6.806 Å, 90.00 90.00 90.00°
Space group Pmmn (No. 59, origin choice 2)
Inequivalent atoms, fractional coordinates:
Pm 0.250 0.052 0.242 (multiplicity 4)
Pm 0.250 0.250 0.739 (multiplicity 2)
Al 0.250 0.750 0.560 (multiplicity 2)
Ga 0.250 0.750 0.950 (multiplicity 2)

***

20.
A plane-wave DFT calculation with GGA-PBE was carried out for a relaxed Pm4AlGa3 crystal.

Cell: 4.160 4.471 11.309 Å, 90.00 90.00 90.00°
Space group Pmm2 (No. 25)
Inequivalent atoms, fractional coordinates:
Pm 0.000 0.000 0.000 (multiplicity 1)
Pm 0.000 0.500 0.496 (multiplicity 1)
Pm 0.500 0.000 0.278 (multiplicity 1)
Pm 0.500 0.500 0.782 (multiplicity 1)
Al 0.500 0.000 0.572 (multiplicity 1)
Ga 0.000 0.000 0.714 (multiplicity 1)
Ga 0.000 0.500 0.211 (multiplicity 1)
Ga 0.500 0.500 0.067 (multiplicity 1)

***

Q: Which size of the total moment values were calculated for the entries above? A: 0.00 0.00 0.00 0.00 0.00 0.00 0.00 0.00 0.00 0.00 0.00 0.00 0.00 0.00 0.00 0.00 0.00 0.00 0.00 0.00, in μB per formula unit.
Q: Which formation enthalpy at 0 K values were calculated for the entries above? A: -0.208 -0.450 -0.406 -0.285 -0.645 -0.332 -0.461 -0.637 -0.434 0.485 -0.377 -0.253 -0.139 -0.351 -0.492 -0.379 -0.270 -0.513 -0.392 -0.541, in eV per atom.